(1)
A plane-wave DFT calculation with PBE-GGA was carried out for crystalline Np2GeH3 at its relaxed geometry.

The structure belongs to space group Immm (No. 71); the cell edges are 3.990, 6.249 and 12.075 Å and the angles 90.00°, 90.00° and 90.00°. The distinct sites, in fractional coordinates, are Np at (0.000, 0.000, 0.179), Np at (0.000, 0.208, 0.500), Ge at (0.000, 0.500, 0.140), H at (0.000, 0.149, 0.000) and H at (0.000, 0.310, 0.320).

The density of states at the Fermi level is 9.09 states/eV/f.u. As for the crystal system: orthorhombic. As for the total energy: -165.6 eV for the cell shown.

---

(2)
A plane-wave DFT calculation with PBE-GGA was carried out for crystalline Dy8Er6Pu at its relaxed geometry.

The structure belongs to space group R-3 (No. 148, hexagonal axes); the cell edges are 8.9460, 8.9460 and 20.2414 Å and the angles 90.00°, 90.00° and 120.00°. The distinct sites, in fractional coordinates, are Dy at (0.0000, 0.0000, 0.0765), Dy at (0.0825, 0.5578, 0.3064), Er at (0.0694, 0.2515, 0.2061) and Pu at (0.0000, 0.0000, 0.5000).

The density of states at the Fermi level is 20.90 states/eV/f.u. As for the crystal system: trigonal. As for the calculated formation energy: 0.12 eV/atom. As for the total energy: -230.3 eV for the cell shown.

---

(3)
A plane-wave DFT calculation with PBE-GGA was carried out for crystalline BeCdP2 at its relaxed geometry.

The structure belongs to space group C2/m (No. 12); the cell edges are 6.728, 3.380 and 6.271 Å and the angles 90.00°, 110.03° and 90.00°. The distinct sites, in fractional coordinates, are Be at (0.000, 0.000, 0.000), Cd at (0.000, 0.500, 0.500) and P at (0.235, 0.000, 0.837).

The density of states at the Fermi level is 0.94 states/eV/f.u. As for the crystal system: monoclinic. As for the calculated formation energy: 0.18 eV/atom. As for the energy above the most stable polymorph in this dataset: 0.107 eV/atom. As for the total energy: -29.5 eV for the cell shown.

---

(4)
A plane-wave DFT calculation with PBE-GGA was carried out for crystalline PmMn9Si4 at its relaxed geometry.

The structure belongs to space group I4/mcm (No. 140); the cell edges are 7.861, 7.861 and 11.654 Å and the angles 90.00°, 90.00° and 90.00°. The distinct sites, in fractional coordinates, are Pm at (0.000, 0.000, 0.250), Mn at (0.000, 0.500, 0.000), Mn at (0.058, 0.191, 0.000), Mn at (0.119, 0.381, 0.176) and Si at (0.176, 0.324, 0.378).

The density of states at the Fermi level is 11.60 states/eV/f.u. As for the uncorrected formation energy: -0.38 eV per atom. As for the crystal system: tetragonal. As for the total energy: -457.3 eV for the cell shown.

---

(5)
A plane-wave DFT calculation with PBE-GGA was carried out for crystalline Be2InGe at its relaxed geometry.

The structure belongs to space group I-42d (No. 122); the cell edges are 4.285, 4.285 and 14.851 Å and the angles 90.00°, 90.00° and 90.00°. The distinct sites, in fractional coordinates, are Be at (0.144, 0.250, 0.125), In at (0.000, 0.000, 0.500) and Ge at (0.000, 0.000, 0.000).

The density of states at the Fermi level is 1.86 states/eV/f.u. As for the crystal system: tetragonal. As for the calculated formation energy: 0.42 eV/atom. As for the energy above the most stable polymorph in this dataset: 0.000 eV/atom. As for the total energy: -52.6 eV for the cell shown.

---

Q: What is the formula in the fifth record?
A: Be2InGe